## a
A relaxed CdSnSbAs crystal, computed with PBE.

a b c (Å): 6.4101 6.4101 7.7023
angles (deg): 114.30 114.30 90.01
Last column: nearest neighbours and their distance in Å.
Fractional coordinates of all 8 atoms:
Sb (0.3750, 0.1252, 0.2500)  2 Cd 2.83-2.84, 2 Sn 2.84-2.85
As (0.6242, 0.8749, 0.7501)  2 Sn 2.67, 2 Cd 2.67-2.68
Sb (0.1252, 0.3750, 0.7500)  2 Cd 2.83-2.84, 2 Sn 2.84-2.85
Sn (0.7505, 0.9771, 0.5000)  2 As 2.67, 2 Sb 2.84-2.85
Cd (0.5225, 0.2508, 0.0000)  2 As 2.67-2.68, 2 Sb 2.83-2.84
Cd (0.2508, 0.5225, 0.5000)  2 As 2.67-2.68, 2 Sb 2.83-2.84
As (0.8749, 0.6242, 0.2501)  2 Sn 2.67, 2 Cd 2.67-2.68
Sn (0.9771, 0.7505, 0.0000)  2 As 2.67, 2 Sb 2.84-2.85

=====

## b
A relaxed CdSnSbAs crystal, computed with PBE.

a b c (Å): 7.7444 7.7444 7.7444
angles (deg): 131.29 131.02 71.57
Last column: nearest neighbours and their distance in Å.
Fractional coordinates of all 8 atoms:
Sb (0.2500, 0.4910, 0.2410)  2 Cd 2.82, 2 Sn 2.83
Sn (0.1311, 0.8811, 0.2500)  2 As 2.69, 2 Sb 2.83
As (0.0068, 0.7500, 0.7568)  2 Sn 2.69, 2 Cd 2.70
Cd (0.6375, 0.3875, 0.2500)  2 As 2.70, 2 Sb 2.82
Cd (0.8625, 0.1125, 0.7500)  2 As 2.70, 2 Sb 2.82
Sn (0.3689, 0.6189, 0.7500)  2 As 2.69, 2 Sb 2.83
As (0.4932, 0.2500, 0.7432)  2 Sn 2.69, 2 Cd 2.70
Sb (0.7500, 0.0090, 0.2590)  2 Cd 2.82, 2 Sn 2.83

=====

Quick one: least stable of them? b

=====

## a
A relaxed SrCd2As2 crystal, computed with PBE.

a b c (Å): 4.3104 4.3104 7.4235
angles (deg): 106.88 106.88 90.00
Last column: nearest neighbours and their distance in Å.
Fractional coordinates of all 5 atoms:
Sr (0.0000, 0.0000, 0.0000)  8 As 3.42
As (0.3854, 0.3854, 0.7708)  4 Cd 2.83, 1 As 3.10
Cd (0.2500, 0.7500, 0.5000)  4 As 2.83, 4 Cd 3.05
Cd (0.7500, 0.2500, 0.5000)  4 As 2.83, 4 Cd 3.05
As (0.6146, 0.6146, 0.2292)  4 Cd 2.83, 1 As 3.10

=====

## b
A relaxed SrCd2As2 crystal, computed with PBE.

a b c (Å): 4.4893 4.4893 7.4648
angles (deg): 90.00 90.00 120.00
Last column: nearest neighbours and their distance in Å.
Fractional coordinates of all 5 atoms:
Cd (0.3333, 0.6667, 0.6317)  4 As 2.74-2.85
As (0.3333, 0.6667, 0.2499)  4 Cd 2.74-2.85
As (0.6667, 0.3333, 0.7501)  4 Cd 2.74-2.85
Cd (0.6667, 0.3333, 0.3683)  4 As 2.74-2.85
Sr (0.0000, 0.0000, 0.0000)  6 As 3.19

=====

Quick one: least stable of them? a

=====

## a
A relaxed TmCdAs crystal, computed with PBE.

Properties
Spin magnetization = 0.00 μB/atom

a b c (Å): 4.7814 4.7814 4.7814
angles (deg): 60.00 60.00 60.00
Last column: nearest neighbours and their distance in Å.
Fractional coordinates of all 3 atoms:
Cd (0.0000, 0.0000, 0.0000)  4 As 2.93, 4 Tm 2.93
Tm (0.7500, 0.7500, 0.7500)  4 Cd 2.93
As (0.2500, 0.2500, 0.2500)  4 Cd 2.93

=====

## b
A relaxed TmCdAs crystal, computed with PBE.

Properties
Spin magnetization = 0.00 μB/atom

a b c (Å): 4.8225 4.8225 4.8225
angles (deg): 60.00 60.00 60.00
Last column: nearest neighbours and their distance in Å.
Fractional coordinates of all 3 atoms:
Cd (0.7500, 0.7500, 0.7500)  4 Tm 2.95
Tm (0.0000, 0.0000, 0.0000)  4 Cd 2.95, 4 As 2.95
As (0.2500, 0.2500, 0.2500)  4 Tm 2.95

=====

Quick one: least stable of them? a

=====

## a
A relaxed CdAsW crystal, computed with PBE.

Properties
Spin magnetization = 0.07 μB/atom

a b c (Å): 4.3598 4.3598 4.3598
angles (deg): 60.00 60.00 60.00
Last column: nearest neighbours and their distance in Å.
Fractional coordinates of all 3 atoms:
W (0.7500, 0.7500, 0.7500)  4 As 2.67
Cd (0.2500, 0.2500, 0.2500)  4 As 2.67
As (0.0000, 0.0000, 0.0000)  4 Cd 2.67, 4 W 2.67

=====

## b
A relaxed CdAsW crystal, computed with PBE.

Properties
Spin magnetization = 0.30 μB/atom

a b c (Å): 4.4447 4.4447 4.4447
angles (deg): 60.00 60.00 60.00
Last column: nearest neighbours and their distance in Å.
Fractional coordinates of all 3 atoms:
As (0.2500, 0.2500, 0.2500)  4 W 2.72
W (0.0000, 0.0000, 0.0000)  4 Cd 2.72, 4 As 2.72
Cd (0.7500, 0.7500, 0.7500)  4 W 2.72

=====

Quick one: least stable of them? a

=====

## a
A relaxed CoAs3 crystal, computed with PBE.

Properties
Spin magnetization = 0.00 μB/atom

a b c (Å): 4.5162 4.5162 4.5162
angles (deg): 60.00 60.00 60.00
Last column: nearest neighbours and their distance in Å.
Fractional coordinates of all 4 atoms:
Co (0.7500, 0.7500, 0.7500)  8 As 2.77
As (0.2500, 0.2500, 0.2500)  8 As 2.77
As (0.0000, 0.0000, 0.0000)  4 As 2.77, 4 Co 2.77
As (0.5000, 0.5000, 0.5000)  4 As 2.77, 4 Co 2.77

=====

## b
A relaxed CoAs3 crystal, computed with PBE.

Properties
Spin magnetization = 0.00 μB/atom

a b c (Å): 7.3665 7.3665 2.9889
angles (deg): 90.00 90.00 120.00
Last column: nearest neighbours and their distance in Å.
Fractional coordinates of all 8 atoms:
Co (0.6667, 0.3333, 0.2500)  6 As 2.39
As (0.8127, 0.1873, 0.7500)  2 Co 2.39
As (0.3746, 0.1873, 0.7500)  2 Co 2.39
As (0.1873, 0.3746, 0.2500)  2 Co 2.39
As (0.8127, 0.6254, 0.7500)  2 Co 2.39
As (0.6254, 0.8127, 0.2500)  2 Co 2.39
Co (0.3333, 0.6667, 0.7500)  6 As 2.39
As (0.1873, 0.8127, 0.2500)  2 Co 2.39

=====

Quick one: least stable of them? a

=====

## a
A relaxed GaCoCuAs crystal, computed with PBE.

Properties
Spin magnetization = 0.00 μB/atom

a b c (Å): 4.2498 4.2498 4.2498
angles (deg): 60.00 60.00 60.00
Last column: nearest neighbours and their distance in Å.
Fractional coordinates of all 4 atoms:
As (0.5000, 0.5000, 0.5000)  4 Cu 2.60, 4 Co 2.60
Cu (0.7500, 0.7500, 0.7500)  4 As 2.60, 4 Ga 2.60
Co (0.2500, 0.2500, 0.2500)  4 Ga 2.60, 4 As 2.60
Ga (0.0000, 0.0000, 0.0000)  4 Co 2.60, 4 Cu 2.60

=====

## b
A relaxed GaCoCuAs crystal, computed with PBE.

Properties
Spin magnetization = 0.01 μB/atom

a b c (Å): 4.2934 4.2934 4.2934
angles (deg): 60.00 60.00 60.00
Last column: nearest neighbours and their distance in Å.
Fractional coordinates of all 4 atoms:
As (0.2500, 0.2500, 0.2500)  4 Co 2.63, 4 Ga 2.63
Co (0.5000, 0.5000, 0.5000)  4 As 2.63, 4 Cu 2.63
Ga (0.0000, 0.0000, 0.0000)  4 Cu 2.63, 4 As 2.63
Cu (0.7500, 0.7500, 0.7500)  4 Co 2.63, 4 Ga 2.63

=====

Quick one: least stable of them? b